LiMg2Zr after structural relaxation, computed with GGA-PBE.

DFT total energy	-13.600	eV per formula unit
spin magnetization	0.000	μB per formula unit
crystal system	trigonal
symmetry	R-3m, No. 166

Structure (extended XYZ):
```
4
Lattice="10.693 -0.022 -0.013 10.253 3.036 -0.013 10.253 1.475 2.653" Properties=species:S:1:pos:R:3 pbc="T T T"
Mg 0.075 0.011 0.006
Mg 15.525 2.234 1.308
Zr 7.800 1.122 0.657
Li 23.400 3.367 1.971
```

Tl4AsSe after structural relaxation, computed with GGA-PBE.

offset from the most stable computed form	415	meV per atom
spin magnetization	0.007	μB per formula unit
crystal system	cubic
symmetry	F-43m, No. 216
ΔE_f (raw)	318	meV per atom

Structure (extended XYZ):
```
6
Lattice="0.000 4.491 4.491 4.491 0.000 4.491 4.491 4.491 0.000" Properties=species:S:1:pos:R:3 pbc="T T T"
Tl 3.367 5.616 5.616
Tl 5.616 5.616 3.367
Tl 5.616 3.367 5.616
Tl 3.367 3.367 3.367
As 6.737 6.737 6.737
Se 0.000 0.000 0.000
```

AlTc2C after structural relaxation, computed with GGA-PBE.

offset from the most stable computed form	0	meV per atom
spin magnetization	0.000	μB per formula unit
crystal system	tetragonal
symmetry	I-42d, No. 122

Structure (extended XYZ):
```
8
Lattice="-2.635 -6.242 -0.348 1.484 -0.991 6.545 -2.604 -2.793 3.683" Properties=species:S:1:pos:R:3 pbc="T T T"
C -0.576 -3.616 3.099
C -0.848 -3.700 6.664
Tc -1.843 -4.085 1.557
Tc -0.322 -2.736 4.933
Tc -2.233 -4.908 5.756
Tc -3.112 -8.322 7.516
Al 0.000 0.000 0.000
Al -2.908 -6.325 3.217
```

As2OsSe after structural relaxation, computed with GGA-PBE.

offset from the most stable computed form	763	meV per atom
spin magnetization	0.000	μB per formula unit
crystal system	tetragonal
symmetry	P4/mmm, No. 123
ΔE_f (raw)	861	meV per atom

Structure (extended XYZ):
```
4
Lattice="-4.431 1.356 0.984 -1.280 -3.497 -0.942 0.457 -1.147 3.638" Properties=species:S:1:pos:R:3 pbc="T T T"
As 0.000 0.000 0.000
As -0.411 -2.322 1.348
Os -2.855 -1.071 0.021
Se -1.987 0.105 2.311
```

YAl2Cu after structural relaxation, computed with GGA-PBE.

DFT total energy	-18.961	eV per formula unit
spin magnetization	0.239	μB per formula unit
crystal system	tetragonal
symmetry	P4mm, No. 99

Structure (extended XYZ):
```
4
Lattice="-0.712 -2.734 1.668 -0.611 -1.562 -2.821 6.590 -1.933 -0.356" Properties=species:S:1:pos:R:3 pbc="T T T"
Y 4.206 -3.576 -0.840
Al 0.299 -0.088 -0.016
Al 1.156 -2.681 -0.675
Cu 2.902 -0.851 -0.157
```

Hf12ZrAl3 after structural relaxation, computed with GGA-PBE.

DFT total energy	-141.628	eV per formula unit
spin magnetization	0.000	μB per formula unit
crystal system	tetragonal
symmetry	P4/mmm, No. 123

Structure (extended XYZ):
```
16
Lattice="4.380 0.000 0.000 0.000 4.380 0.000 0.000 0.000 17.500" Properties=species:S:1:pos:R:3 pbc="T T T"
Hf 2.190 2.190 0.000
Hf 2.190 2.190 4.474
Hf 2.190 2.190 8.750
Hf 2.190 2.190 13.026
Hf 2.190 0.000 2.284
Hf 2.190 0.000 6.611
Hf 2.190 0.000 10.889
Hf 2.190 0.000 15.216
Hf 0.000 2.190 2.284
Hf 0.000 2.190 6.611
Hf 0.000 2.190 10.889
Hf 0.000 2.190 15.216
Zr 0.000 0.000 0.000
Al 0.000 0.000 4.443
Al 0.000 0.000 8.750
Al 0.000 0.000 13.058
```

LaZn8 after structural relaxation, computed with GGA-PBE.

DFT total energy	-15.808	eV per formula unit
spin magnetization	0.000	μB per formula unit
crystal system	tetragonal
symmetry	I4/mmm, No. 139

Structure (extended XYZ):
```
9
Lattice="0.377 -4.628 4.619 -4.165 2.698 -4.274 3.611 -3.167 -4.453" Properties=species:S:1:pos:R:3 pbc="T T T"
La 0.000 0.000 0.000
Zn 1.072 -2.582 -2.675
Zn -1.250 -2.516 -1.434
Zn 2.592 -5.066 0.108
Zn -2.746 0.409 -1.496
Zn -0.194 -0.164 -3.056
Zn -1.042 -2.340 1.841
Zn 1.396 -2.729 0.058
Zn -0.361 -0.305 -5.672
```

NaMg2AlMo after structural relaxation, computed with GGA-PBE.

DFT total energy	-11.854	eV per formula unit
spin magnetization	1.959	μB per formula unit
crystal system	tetragonal
symmetry	P4/mmm, No. 123

Structure (extended XYZ):
```
5
Lattice="4.798 0.000 0.000 0.000 4.949 0.000 0.000 0.000 4.798" Properties=species:S:1:pos:R:3 pbc="T T T"
Mg 0.000 0.000 2.399
Mg 2.399 0.000 0.000
Na 0.000 0.000 0.000
Mo 0.000 2.475 0.000
Al 2.399 2.475 2.399
```

Pu2CrN5 after structural relaxation, computed with GGA-PBE.

spin magnetization	6.999	μB per formula unit
crystal system	orthorhombic
symmetry	Cmcm, No. 63
ΔE_f (raw)	-579	meV per atom

Structure (extended XYZ):
```
16
Lattice="-3.524 1.748 1.193 0.372 -5.451 2.005 4.450 3.339 8.254" Properties=species:S:1:pos:R:3 pbc="T T T"
Pu -0.846 -0.967 6.003
Pu -2.443 -2.166 3.040
Pu 2.143 0.604 5.449
Pu 3.741 1.802 8.412
Cr 0.694 0.477 8.436
Cr 0.604 -0.840 3.015
N 0.906 -0.282 10.175
N -0.241 -1.142 8.048
N 1.065 -1.294 5.043
N -0.487 -2.459 2.165
N -1.316 -0.487 3.908
N 2.614 0.123 7.544
N 0.233 0.931 6.408
N 1.785 2.095 9.286
N 0.391 -0.082 1.276
N 1.538 0.779 3.404
```